Density functional theory data (PBE) for an optimized crystal structure of PrTm4Al2.

Calculated values
Energy above the lowest structure with this stoichiometry ... 3.53 eV/f.u.
Energy relative to the elements ... 0.300 eV/atom

The structure in extended XYZ format:
```
7
Lattice="-2.798 2.798 6.361 2.798 -2.798 6.361 2.798 2.798 -6.361" Properties=species:S:1:pos:R:3 pbc="T T T"
Pr 0.000 0.000 0.000
Tm 2.798 0.000 0.000
Tm 2.798 0.000 3.181
Tm 0.000 2.798 0.000
Tm 0.000 2.798 3.181
Al 0.000 0.000 4.885
Al 0.000 0.000 7.837
```